## a
{"formula": "Tb5Pm12Er2", "functional": "GGA-PBE", "state": "relaxed", "lattice": [[10.485, 0.000, 0.000], [-5.242, 7.698, -0.261], [0.000, 0.677, 7.984]], "species": ["Tb", "Tb", "Tb", "Tb", "Tb", "Pm", "Pm", "Pm", "Pm", "Pm", "Pm", "Pm", "Pm", "Pm", "Pm", "Pm", "Pm", "Er", "Er"], "frac_coords": [[0.243, 0.487, 0.515], [0.346, 0.692, 0.089], [0.000, 0.000, 0.500], [0.654, 0.308, 0.911], [0.757, 0.513, 0.485], [0.862, 0.725, 0.110], [0.040, 0.624, 0.794], [0.583, 0.624, 0.794], [0.168, 0.788, 0.387], [0.620, 0.788, 0.387], [0.448, 0.895, 0.710], [0.552, 0.105, 0.290], [0.832, 0.212, 0.613], [0.380, 0.212, 0.613], [0.960, 0.376, 0.206], [0.417, 0.376, 0.206], [0.138, 0.275, 0.890], [0.738, 0.000, 0.000], [0.262, 0.000, 0.000]], "magmom_total_mub_per_fu": 0.00}

---

## b
{"formula": "Tb5Pm12Er2", "functional": "GGA-PBE", "state": "relaxed", "lattice": [[11.718, 0.000, 0.000], [-5.859, 8.900, 0.930], [0.000, -1.991, 5.900]], "species": ["Tb", "Tb", "Tb", "Tb", "Tb", "Pm", "Pm", "Pm", "Pm", "Pm", "Pm", "Pm", "Pm", "Pm", "Pm", "Pm", "Pm", "Er", "Er"], "frac_coords": [[0.216, 0.431, 0.554], [0.323, 0.646, 0.140], [0.000, 0.000, 0.500], [0.677, 0.354, 0.860], [0.784, 0.569, 0.446], [0.120, 0.239, 0.001], [0.060, 0.607, 0.801], [0.547, 0.607, 0.801], [0.147, 0.793, 0.383], [0.647, 0.793, 0.383], [0.445, 0.890, 0.726], [0.555, 0.110, 0.274], [0.853, 0.207, 0.617], [0.353, 0.207, 0.617], [0.940, 0.393, 0.199], [0.453, 0.393, 0.199], [0.880, 0.761, 0.999], [0.769, 0.000, 0.000], [0.231, 0.000, 0.000]], "magmom_total_mub_per_fu": 0.00}

---

Which is less stable than every other structure shown? a is.